# ReIrBr3, relaxed, DFT GGA-PBE
# Total DFT energy (no corrections) in eV per atom: -3.9300
# Crystal system: cubic
# Volume in A^3/atom: 26.68
# M_tot in μB per atom: 1.095
# Uncorrected formation energy in eV/atom: 1.34
data_ReIrBr3
_symmetry_space_group_name_H-M 'P m -3 m'
_symmetry_Int_Tables_number 221
_symmetry_space_group_name_Hall '-P 4 2 3'
_cell_length_a 5.109
_cell_length_b 5.109
_cell_length_c 5.109
_cell_angle_alpha 90.00
_cell_angle_beta 90.00
_cell_angle_gamma 90.00
loop_
_atom_site_label
_atom_site_type_symbol
_atom_site_fract_x
_atom_site_fract_y
_atom_site_fract_z
_atom_site_occupancy
Re1 Re 0.000 0.000 0.000 1
Ir1 Ir 0.500 0.500 0.500 1
Br1 Br 0.000 0.500 0.500 1

***

# ReIr2Br, relaxed, DFT GGA-PBE
# Total DFT energy (no corrections) in eV per atom: -7.2197
# Crystal system: tetragonal
# Volume in A^3/atom: 16.63
# M_tot in μB per atom: 0.000
# Uncorrected formation energy in eV/atom: 0.74
# Polymorph energy (0 for the lowest one) in eV/f.u.: 1.15
data_ReIr2Br
_symmetry_space_group_name_H-M 'P 4 m m'
_symmetry_Int_Tables_number 99
_symmetry_space_group_name_Hall 'P 4 -2'
_cell_length_a 2.841
_cell_length_b 2.841
_cell_length_c 8.243
_cell_angle_alpha 90.00
_cell_angle_beta 90.00
_cell_angle_gamma 90.00
loop_
_atom_site_label
_atom_site_type_symbol
_atom_site_fract_x
_atom_site_fract_y
_atom_site_fract_z
_atom_site_occupancy
Re1 Re 0.000 0.000 0.000 1
Ir1 Ir 0.000 0.000 0.552 1
Ir2 Ir 0.500 0.500 0.783 1
Br1 Br 0.500 0.500 0.221 1

***

# ReIr2Br, relaxed, DFT GGA-PBE
# Total DFT energy (no corrections) in eV per atom: -6.6932
# Crystal system: cubic
# Volume in A^3/atom: 16.22
# M_tot in μB per atom: 0.055
# Uncorrected formation energy in eV/atom: 1.27
# Polymorph energy (0 for the lowest one) in eV/f.u.: 3.25
data_ReIr2Br
_symmetry_space_group_name_H-M 'F m -3 m'
_symmetry_Int_Tables_number 225
_symmetry_space_group_name_Hall '-F 4 2 3'
_cell_length_a 6.378
_cell_length_b 6.378
_cell_length_c 6.378
_cell_angle_alpha 90.00
_cell_angle_beta 90.00
_cell_angle_gamma 90.00
loop_
_atom_site_label
_atom_site_type_symbol
_atom_site_fract_x
_atom_site_fract_y
_atom_site_fract_z
_atom_site_occupancy
Re1 Re 0.000 0.000 0.000 1
Ir1 Ir 0.250 0.250 0.250 1
Br1 Br 0.000 0.000 0.500 1

***

# ReIr2Br, relaxed, DFT GGA-PBE
# Total DFT energy (no corrections) in eV per atom: -6.6007
# Crystal system: tetragonal
# Volume in A^3/atom: 15.76
# M_tot in μB per atom: 0.000
# Uncorrected formation energy in eV/atom: 1.36
# Polymorph energy (0 for the lowest one) in eV/f.u.: 3.62
data_ReIr2Br
_symmetry_space_group_name_H-M 'P 4/m m m'
_symmetry_Int_Tables_number 123
_symmetry_space_group_name_Hall '-P 4 2'
_cell_length_a 3.949
_cell_length_b 3.949
_cell_length_c 4.044
_cell_angle_alpha 90.00
_cell_angle_beta 90.00
_cell_angle_gamma 90.00
loop_
_atom_site_label
_atom_site_type_symbol
_atom_site_fract_x
_atom_site_fract_y
_atom_site_fract_z
_atom_site_occupancy
Re1 Re 0.000 0.000 0.000 1
Ir1 Ir 0.000 0.500 0.500 1
Br1 Br 0.500 0.500 0.000 1

***

# ReIr2Br, relaxed, DFT GGA-PBE
# Total DFT energy (no corrections) in eV per atom: -7.1654
# Crystal system: orthorhombic
# Volume in A^3/atom: 18.64
# M_tot in μB per atom: 0.000
# Uncorrected formation energy in eV/atom: 0.80
# Polymorph energy (0 for the lowest one) in eV/f.u.: 1.36
data_ReIr2Br
_symmetry_space_group_name_H-M 'P m m 2'
_symmetry_Int_Tables_number 25
_symmetry_space_group_name_Hall 'P 2 -2'
_cell_length_a 2.764
_cell_length_b 3.698
_cell_length_c 7.297
_cell_angle_alpha 90.00
_cell_angle_beta 90.00
_cell_angle_gamma 90.00
loop_
_atom_site_label
_atom_site_type_symbol
_atom_site_fract_x
_atom_site_fract_y
_atom_site_fract_z
_atom_site_occupancy
Re1 Re 0.000 0.000 0.000 1
Ir1 Ir 0.000 0.000 0.641 1
Ir2 Ir 0.500 0.500 0.831 1
Br1 Br 0.500 0.500 0.297 1

***

# Re4IrBr, relaxed, DFT GGA-PBE
# Total DFT energy (no corrections) in eV per atom: -8.8370
# Crystal system: cubic
# Volume in A^3/atom: 16.77
# M_tot in μB per atom: 0.000
# Uncorrected formation energy in eV/atom: 1.22
data_Re4IrBr
_symmetry_space_group_name_H-M 'F -4 3 m'
_symmetry_Int_Tables_number 216
_symmetry_space_group_name_Hall 'F -4 2 3'
_cell_length_a 7.384
_cell_length_b 7.384
_cell_length_c 7.384
_cell_angle_alpha 90.00
_cell_angle_beta 90.00
_cell_angle_gamma 90.00
loop_
_atom_site_label
_atom_site_type_symbol
_atom_site_fract_x
_atom_site_fract_y
_atom_site_fract_z
_atom_site_occupancy
Re1 Re 0.124 0.124 0.376 1
Ir1 Ir 0.250 0.250 0.750 1
Br1 Br 0.000 0.000 0.000 1